# 1
Density functional theory data (PBE-GGA) for a geometry-optimized SrMgSnPd structure.

Geometry as POSCAR:
```
SrMgSnPd
1.0
0.000 3.644 3.644
3.644 0.000 3.644
3.644 3.644 0.000
Mg Pd Sn Sr
1 1 1 1
Direct
0.750 0.750 0.750
0.500 0.500 0.500
0.000 0.000 0.000
0.250 0.250 0.250
```

Summary:
For the energy relative to the lowest polymorph listed for this composition, the calculation gives 19 meV/atom. As for the calculated density: 5.78 Mg/m³.

---

# 2
Density functional theory data (PBE-GGA) for a geometry-optimized SrMgSnPd structure.

Geometry as POSCAR:
```
SrMgSnPd
1.0
2.458 -3.040 3.213
-1.212 -4.906 0.271
3.198 -3.498 -1.772
Mg Pd Sn Sr
1 1 1 1
Direct
0.750 0.750 0.750
0.250 0.250 0.250
0.000 0.000 0.000
0.500 0.500 0.500
```

Summary:
For the energy relative to the lowest polymorph listed for this composition, the calculation gives 0 meV/atom. As for the calculated density: 6.11 Mg/m³.

---

# 3
Density functional theory data (PBE-GGA) for a geometry-optimized SrMgSnPd structure.

Geometry as POSCAR:
```
SrMgSnPd
1.0
-1.464 -4.675 1.255
-3.167 -0.702 3.880
-4.761 -1.474 -0.857
Mg Pd Sn Sr
1 1 1 1
Direct
0.750 0.750 0.750
0.000 0.000 0.000
0.250 0.250 0.250
0.500 0.500 0.500
```

Summary:
For the energy relative to the lowest polymorph listed for this composition, the calculation gives 42 meV/atom. As for the calculated density: 6.12 Mg/m³.

---

# 4
Density functional theory data (PBE-GGA) for a geometry-optimized SrMgSn2Pd structure.

Geometry as POSCAR:
```
SrMgSn2Pd
1.0
4.666 0.000 0.000
0.000 4.666 0.000
0.000 0.000 11.781
Mg Pd Sn Sr
2 2 4 2
Direct
0.000 0.000 0.000
0.500 0.500 0.000
0.500 0.000 0.379
0.000 0.500 0.621
0.500 0.000 0.153
0.000 0.000 0.500
0.500 0.500 0.500
0.000 0.500 0.847
0.000 0.500 0.263
0.500 0.000 0.737
```

Summary:
The calculation puts the final energy at -3.8906 eV/atom. As for the calculated density: 5.90 Mg/m³.

---

# 5
Density functional theory data (PBE-GGA) for a geometry-optimized SrMgPd structure.

Geometry as POSCAR:
```
SrMgPd
1.0
-1.018 -1.125 4.870
0.980 3.411 3.664
-3.845 2.334 2.407
Mg Pd Sr
1 1 1
Direct
0.250 0.250 0.250
0.750 0.750 0.750
0.000 0.000 0.000
```

Summary:
The calculation puts the final energy at -2.5665 eV/atom. As for the calculated density: 3.86 Mg/m³.

---

# 6
Density functional theory data (PBE-GGA) for a geometry-optimized SrMgPd structure.

Geometry as POSCAR:
```
SrMgPd
1.0
5.165 0.000 0.000
-2.583 4.473 0.000
0.000 0.000 6.382
Mg Pd Sr
2 2 2
Direct
0.000 0.000 0.246
0.000 0.000 0.746
0.667 0.333 0.003
0.333 0.667 0.503
0.333 0.667 0.001
0.667 0.333 0.501
```

Summary:
The calculation puts the final energy at -3.1159 eV/atom. As for the calculated density: 4.92 Mg/m³.

---

# 7
Density functional theory data (PBE-GGA) for a geometry-optimized SrMgPd structure.

Geometry as POSCAR:
```
SrMgPd
1.0
1.130 -0.012 4.804
-3.481 -1.004 3.351
0.130 -4.257 2.494
Mg Pd Sr
1 1 1
Direct
0.250 0.250 0.250
0.000 0.000 0.000
0.750 0.750 0.750
```

Summary:
The calculation puts the final energy at -3.1795 eV/atom. As for the calculated density: 4.27 Mg/m³.

---

# 8
Density functional theory data (PBE-GGA) for a geometry-optimized SrMg2Pd2 structure.

Geometry as POSCAR:
```
SrMg2Pd2
1.0
-4.582 0.346 4.868
-6.628 0.240 -0.907
5.481 -3.353 -1.880
Mg Pd Sr
2 2 1
Direct
0.750 0.250 0.500
0.250 0.750 0.500
0.386 0.386 0.000
0.614 0.614 0.000
0.000 0.000 0.000
```

Summary:
The calculation puts the final energy at -3.6255 eV/atom. As for the calculated density: 5.19 Mg/m³.

---

# 9
Density functional theory data (PBE-GGA) for a geometry-optimized Mg2TcPd structure.

Geometry as POSCAR:
```
Mg2TcPd
1.0
-2.204 -0.750 3.911
-1.239 3.507 2.623
-4.396 1.113 0.384
Mg Pd Tc
2 1 1
Direct
0.250 0.250 0.250
0.500 0.500 0.500
0.750 0.750 0.750
0.000 0.000 0.000
```

Summary:
The calculation puts the final energy at -4.5915 eV/atom. The size of the total moment is 2.47 Bohr magnetons per cell. As for the calculated density: 6.30 Mg/m³.

---

# 10
Density functional theory data (PBE-GGA) for a geometry-optimized Mg2Tl4Pd structure.

Geometry as POSCAR:
```
Mg2Tl4Pd
1.0
-0.496 -3.792 -6.097
-0.070 -4.551 5.575
-3.805 0.265 0.156
Mg Pd Tl
2 1 4
Direct
0.500 0.000 0.500
0.000 0.500 0.500
0.000 0.000 0.000
0.658 0.342 0.000
0.342 0.658 0.000
0.759 0.759 0.498
0.241 0.241 0.502
```

Summary:
The calculation puts the final energy at -2.3939 eV/atom. As for the calculated density: 8.63 Mg/m³.

---

# 11
Density functional theory data (PBE-GGA) for a geometry-optimized MgTlPd2 structure.

Geometry as POSCAR:
```
MgTlPd2
1.0
0.000 3.274 3.274
3.274 0.000 3.274
3.274 3.274 0.000
Mg Pd Tl
1 2 1
Direct
0.250 0.250 0.250
0.000 0.000 0.000
0.750 0.750 0.750
0.500 0.500 0.500
```

Summary:
The calculation puts the final energy at -3.8639 eV/atom. As for the calculated density: 10.44 Mg/m³.

---

# 12
Density functional theory data (PBE-GGA) for a geometry-optimized Mg2TlPd structure.

Geometry as POSCAR:
```
Mg2TlPd
1.0
-0.482 -4.456 1.654
-2.556 -0.818 3.952
-4.221 -2.217 -0.302
Mg Pd Tl
2 1 1
Direct
0.000 0.000 0.000
0.750 0.750 0.750
0.250 0.250 0.250
0.500 0.500 0.500
```

Summary:
The calculation puts the final energy at -2.8892 eV/atom. As for the calculated density: 7.74 Mg/m³.

---

# 13
Density functional theory data (PBE-GGA) for a geometry-optimized TmMgPd structure.

Geometry as POSCAR:
```
TmMgPd
1.0
2.052 -4.085 1.268
-2.549 -3.999 0.113
0.751 -3.383 -3.239
Mg Pd Tm
1 1 1
Direct
0.250 0.250 0.250
0.750 0.750 0.750
0.000 0.000 0.000
```

Summary:
The calculation puts the final energy at -3.6534 eV/atom. The size of the total moment is 0.00 Bohr magnetons per cell. As for the calculated density: 6.59 Mg/m³.

---

# 14
Density functional theory data (PBE-GGA) for a geometry-optimized TmMgPd structure.

Geometry as POSCAR:
```
TmMgPd
1.0
7.381 0.000 0.000
-3.690 6.392 0.000
0.000 0.000 4.017
Mg Pd Tm
3 3 3
Direct
0.753 0.000 0.000
0.247 0.247 0.000
0.000 0.753 0.000
0.667 0.333 0.000
0.333 0.667 0.000
0.000 0.000 0.500
0.411 0.000 0.500
0.000 0.411 0.500
0.589 0.589 0.500
```

Summary:
The calculation puts the final energy at -4.4342 eV/atom. The size of the total moment is 0.03 Bohr magnetons per cell. As for the calculated density: 7.88 Mg/m³.

---

# 15
Density functional theory data (PBE-GGA) for a geometry-optimized TmMgPd structure.

Geometry as POSCAR:
```
TmMgPd
1.0
0.000 3.283 3.283
3.283 0.000 3.283
3.283 3.283 0.000
Mg Pd Tm
1 1 1
Direct
0.250 0.250 0.250
0.000 0.000 0.000
0.750 0.750 0.750
```

Summary:
The calculation puts the final energy at -4.2875 eV/atom. The size of the total moment is 0.00 Bohr magnetons per cell. As for the calculated density: 7.03 Mg/m³.

---

# 16
Density functional theory data (PBE-GGA) for a geometry-optimized TmMgZn2Pd4 structure.

Geometry as POSCAR:
```
TmMgZn2Pd4
1.0
4.525 0.000 0.000
0.000 4.525 0.000
0.000 0.000 6.389
Mg Pd Tm Zn
1 4 1 2
Direct
0.000 0.000 0.000
0.500 0.000 0.237
0.000 0.500 0.237
0.500 0.000 0.763
0.000 0.500 0.763
0.500 0.500 0.500
0.500 0.500 0.000
0.000 0.000 0.500
```

Summary:
The calculation puts the final energy at -4.3806 eV/atom. The size of the total moment is 0.00 Bohr magnetons per cell. As for the calculated density: 9.51 Mg/m³.

---

# 17
Density functional theory data (PBE-GGA) for a geometry-optimized Tm3Mg3Zn2Pd structure.

Geometry as POSCAR:
```
Tm3Mg3Zn2Pd
1.0
7.435 0.000 0.000
-3.717 6.439 0.000
0.000 0.000 4.095
Mg Pd Tm Zn
3 1 3 2
Direct
0.757 0.000 0.500
0.243 0.243 0.500
0.000 0.757 0.500
0.000 0.000 0.000
0.408 0.000 0.000
0.000 0.408 0.000
0.592 0.592 0.000
0.667 0.333 0.500
0.333 0.667 0.500
```

Summary:
The calculation puts the final energy at -3.2577 eV/atom. The size of the total moment is 0.04 Bohr magnetons per cell. As for the calculated density: 6.92 Mg/m³.

---

# 18
Density functional theory data (PBE-GGA) for a geometry-optimized Tm3Mg3ZnPd2 structure.

Geometry as POSCAR:
```
Tm3Mg3ZnPd2
1.0
7.444 0.000 0.000
-3.722 6.447 0.000
0.000 0.000 4.016
Mg Pd Tm Zn
3 2 3 1
Direct
0.750 0.000 0.000
0.250 0.250 0.000
0.000 0.750 0.000
0.667 0.333 0.000
0.333 0.667 0.000
0.416 0.000 0.500
0.000 0.416 0.500
0.584 0.584 0.500
0.000 0.000 0.500
```

Summary:
The calculation puts the final energy at -3.8430 eV/atom. The size of the total moment is 0.01 Bohr magnetons per cell. As for the calculated density: 7.39 Mg/m³.

---

# 19
Density functional theory data (PBE-GGA) for a geometry-optimized Mg2Pd2W3 structure.

Geometry as POSCAR:
```
Mg2Pd2W3
1.0
-5.952 2.824 2.824
-2.824 2.824 5.952
-2.824 5.952 2.824
Mg Pd W
2 2 3
Direct
0.191 0.191 0.191
0.768 0.768 0.768
0.054 0.054 0.054
0.483 0.483 0.483
0.334 0.334 0.334
0.623 0.623 0.623
0.921 0.921 0.921
```

Summary:
The calculation puts the final energy at -7.4639 eV/atom. The size of the total moment is 0.04 Bohr magnetons per cell. As for the calculated density: 11.90 Mg/m³.

---

# 20
Density functional theory data (PBE-GGA) for a geometry-optimized MgPd2W structure.

Geometry as POSCAR:
```
MgPd2W
1.0
2.936 3.058 1.700
-2.843 3.571 -0.160
-1.010 -3.955 2.048
Mg Pd W
1 2 1
Direct
0.500 0.500 0.000
0.750 0.250 0.500
0.250 0.750 0.500
0.000 0.000 0.000
```

Summary:
The calculation puts the final energy at -6.1963 eV/atom. The size of the total moment is 0.00 Bohr magnetons per cell. As for the calculated density: 11.07 Mg/m³.